Entry 1:
Compound: Mn3Hg
Source: Alexandria
Functional: PBE-GGA
Structure: relaxed

The space group is Pmmm (No. 47) and the conventional cell measures 3.0587, 3.0767 and 6.5862 Å, with angles of 90.00, 90.00 and 90.00 degrees. The distinct sites, in fractional coordinates, are Mn at (0.0000, 0.0000, 0.0000), Mn at (0.5000, 0.5000, 0.2110) and Hg at (0.0000, 0.0000, 0.5000).

The calculation puts the volume at 61.98 Å³ per cell. The energy relative to the elements comes out at 0.286 eV/atom.

Entry 2:
Compound: Mn3Hg5
Source: Alexandria
Functional: PBE-GGA
Structure: relaxed

The space group is Cmmm (No. 65) and the conventional cell measures 8.0455, 9.0079 and 4.3607 Å, with angles of 90.00, 90.00 and 90.00 degrees. The distinct sites, in fractional coordinates, are Mn at (0.0000, 0.0000, 0.0000), Mn at (0.0000, 0.2570, 0.5000), Hg at (0.0000, 0.5000, 0.0000), Hg at (0.2253, 0.0000, 0.5000) and Hg at (0.2500, 0.2500, 0.0000).

The calculation puts the volume at 316.03 Å³ per cell. The energy relative to the elements comes out at 0.341 eV/atom.

Entry 3:
Compound: MnHg3
Source: Alexandria
Functional: PBE-GGA
Structure: relaxed

The space group is Fm-3m (No. 225) and the conventional cell measures 6.9996, 6.9996 and 6.9996 Å, with angles of 90.00, 90.00 and 90.00 degrees. The distinct sites, in fractional coordinates, are Mn at (0.0000, 0.0000, 0.0000), Hg at (0.0000, 0.0000, 0.5000) and Hg at (0.2500, 0.2500, 0.2500).

The calculation puts the volume at 342.94 Å³ per cell. The energy relative to the elements comes out at 0.336 eV/atom.

Entry 4:
Compound: MnHg
Source: Alexandria
Functional: PBE-GGA
Structure: relaxed

The space group is I4/mmm (No. 139) and the conventional cell measures 7.6774, 7.6774 and 4.6338 Å, with angles of 90.00, 90.00 and 90.00 degrees. The distinct sites, in fractional coordinates, are Mn at (0.1387, 0.1387, 0.0000) and Hg at (0.0000, 0.2824, 0.5000).

The calculation puts the volume at 273.13 Å³ per cell. The energy relative to the elements comes out at 0.602 eV/atom.

Entry 5:
Compound: MnHg
Source: Alexandria
Functional: PBE-GGA
Structure: relaxed

The space group is P2_13 (No. 198) and the conventional cell measures 5.3446, 5.3446 and 5.3446 Å, with angles of 90.00, 90.00 and 90.00 degrees. The distinct sites, in fractional coordinates, are Mn at (0.0994, 0.0994, 0.0994) and Hg at (0.0914, 0.5914, 0.9086).

The calculation puts the volume at 152.67 Å³ per cell. The energy relative to the elements comes out at 0.411 eV/atom.

Entry 6:
Compound: MnHg
Source: Alexandria
Functional: PBE-GGA
Structure: relaxed

The space group is P6_3/mmc (No. 194) and the conventional cell measures 4.2827, 4.2827 and 5.3803 Å, with angles of 90.00, 90.00 and 120.00 degrees. The distinct sites, in fractional coordinates, are Mn at (0.0000, 0.0000, 0.0000) and Hg at (0.3333, 0.6667, 0.2500).

The calculation puts the volume at 85.46 Å³ per cell. The energy relative to the elements comes out at 0.525 eV/atom.

Entry 7:
Compound: Mn3Hg4
Source: Alexandria
Functional: PBE-GGA
Structure: relaxed

The space group is I4/mmm (No. 139) and the conventional cell measures 3.1316, 3.1316 and 27.1879 Å, with angles of 90.00, 90.00 and 90.00 degrees. The distinct sites, in fractional coordinates, are Mn at (0.0000, 0.0000, 0.0000), Mn at (0.0000, 0.0000, 0.2790), Hg at (0.0000, 0.0000, 0.1548) and Hg at (0.0000, 0.0000, 0.4315).

The calculation puts the volume at 266.64 Å³ per cell. The energy relative to the elements comes out at 0.316 eV/atom.

Entry 8:
Compound: Mn4Hg5
Source: Alexandria
Functional: PBE-GGA
Structure: relaxed

The space group is I4/mmm (No. 139) and the conventional cell measures 8.8099, 8.8099 and 4.4278 Å, with angles of 90.00, 90.00 and 90.00 degrees. The distinct sites, in fractional coordinates, are Mn at (0.0000, 0.3471, 0.0000), Hg at (0.0000, 0.0000, 0.0000) and Hg at (0.1732, 0.1732, 0.5000).

The calculation puts the volume at 343.66 Å³ per cell. The energy relative to the elements comes out at 0.361 eV/atom.

Entry 9:
Compound: MnHg
Source: Alexandria
Functional: PBE-GGA
Structure: relaxed

The space group is I4_1/amd (No. 141, origin choice 2) and the conventional cell measures 4.0320, 4.0320 and 9.0745 Å, with angles of 90.00, 90.00 and 90.00 degrees. The distinct sites, in fractional coordinates, are Mn at (0.0000, 0.2500, 0.3750) and Hg at (0.0000, 0.2500, 0.8750).

The calculation puts the volume at 147.52 Å³ per cell. The energy relative to the elements comes out at 0.411 eV/atom.

Entry 10:
Compound: Mn3Hg
Source: Alexandria
Functional: PBE-GGA
Structure: relaxed

The space group is R-3m (No. 166, hexagonal axes) and the conventional cell measures 8.9669, 8.9669 and 2.8292 Å, with angles of 90.00, 90.00 and 120.00 degrees. The distinct sites, in fractional coordinates, are Mn at (0.0000, 0.5000, 0.0000) and Hg at (0.0000, 0.0000, 0.0000).

The calculation puts the volume at 197.00 Å³ per cell. The energy relative to the elements comes out at 0.550 eV/atom.

Entry 11:
Compound: MnHg3
Source: Alexandria
Functional: PBE-GGA
Structure: relaxed

The space group is Pmm2 (No. 25) and the conventional cell measures 3.3466, 4.8117 and 5.3258 Å, with angles of 90.00, 90.00 and 90.00 degrees. The distinct sites, in fractional coordinates, are Mn at (0.0000, 0.0000, 0.0000), Hg at (0.0000, 0.5000, 0.6782), Hg at (0.5000, 0.0000, 0.4979) and Hg at (0.5000, 0.5000, 0.1522).

The calculation puts the volume at 85.76 Å³ per cell. The energy relative to the elements comes out at 0.292 eV/atom.

Entry 12:
Compound: MnHg
Source: Alexandria
Functional: PBE-GGA
Structure: relaxed

The space group is Pmmn (No. 59, origin choice 2) and the conventional cell measures 2.9041, 8.6737 and 9.2467 Å, with angles of 90.00, 90.00 and 90.00 degrees. The distinct sites, in fractional coordinates, are Mn at (0.2500, 0.0175, 0.1007), Mn at (0.2500, 0.7500, 0.8971), Hg at (0.2500, 0.2500, 0.8284) and Hg at (0.2500, 0.5487, 0.6365).

The calculation puts the volume at 232.91 Å³ per cell. The energy relative to the elements comes out at 0.364 eV/atom.

Entry 13:
Compound: MnHg3
Source: Alexandria
Functional: PBE-GGA
Structure: relaxed

The space group is Cmmm (No. 65) and the conventional cell measures 4.4476, 4.4564 and 8.6532 Å, with angles of 90.00, 90.00 and 90.00 degrees. The distinct sites, in fractional coordinates, are Mn at (0.0000, 0.0000, 0.0000), Hg at (0.0000, 0.0000, 0.5000) and Hg at (0.0000, 0.5000, 0.2168).

The calculation puts the volume at 171.51 Å³ per cell. The energy relative to the elements comes out at 0.255 eV/atom.

Entry 14:
Compound: MnHg
Source: Alexandria
Functional: PBE-GGA
Structure: relaxed

The space group is P6_3/mmc (No. 194) and the conventional cell measures 4.8192, 4.8192 and 8.1616 Å, with angles of 90.00, 90.00 and 120.00 degrees. The distinct sites, in fractional coordinates, are Mn at (0.3333, 0.6667, 0.0879), Hg at (0.0000, 0.0000, 0.2500) and Hg at (0.3333, 0.6667, 0.7500).

The calculation puts the volume at 164.16 Å³ per cell. The energy relative to the elements comes out at 0.590 eV/atom.

Entry 15:
Compound: MnHg
Source: Alexandria
Functional: PBE-GGA
Structure: relaxed

The space group is Amm2 (No. 38) and the conventional cell measures 4.7549, 3.1051 and 14.9421 Å, with angles of 90.00, 90.00 and 90.00 degrees. The distinct sites, in fractional coordinates, are Mn at (0.0000, 0.0000, 0.0000), Mn at (0.0000, 0.0000, 0.3436), Mn at (0.5000, 0.0000, 0.2061), Hg at (0.0000, 0.0000, 0.6756), Hg at (0.5000, 0.0000, 0.5437) and Hg at (0.5000, 0.0000, 0.8675).

The calculation puts the volume at 220.61 Å³ per cell. The energy relative to the elements comes out at 0.376 eV/atom.

Entry 16:
Compound: MnHg
Source: Alexandria
Functional: PBE-GGA
Structure: relaxed

The space group is Pm-3n (No. 223) and the conventional cell measures 7.6204, 7.6204 and 7.6204 Å, with angles of 90.00, 90.00 and 90.00 degrees. The distinct sites, in fractional coordinates, are Mn at (0.0000, 0.2500, 0.5000) and Hg at (0.0000, 0.5000, 0.2500).

The calculation puts the volume at 442.52 Å³ per cell. The energy relative to the elements comes out at 1.069 eV/atom.

Entry 17:
Compound: MnHg3
Source: Alexandria
Functional: PBE-GGA
Structure: relaxed

The space group is Pm-3m (No. 221) and the conventional cell measures 4.4104, 4.4104 and 4.4104 Å, with angles of 90.00, 90.00 and 90.00 degrees. The distinct sites, in fractional coordinates, are Mn at (0.0000, 0.0000, 0.0000) and Hg at (0.0000, 0.5000, 0.5000).

The calculation puts the volume at 85.79 Å³ per cell. The energy relative to the elements comes out at 0.297 eV/atom.

Entry 18:
Compound: Mn3Hg
Source: Alexandria
Functional: PBE-GGA
Structure: relaxed

The space group is Pmm2 (No. 25) and the conventional cell measures 2.8552, 4.5857 and 4.9835 Å, with angles of 90.00, 90.00 and 90.00 degrees. The distinct sites, in fractional coordinates, are Mn at (0.0000, 0.0000, 0.0000), Mn at (0.0000, 0.5000, 0.2970), Mn at (0.5000, 0.5000, 0.8405) and Hg at (0.5000, 0.0000, 0.5072).

The calculation puts the volume at 65.25 Å³ per cell. The energy relative to the elements comes out at 0.508 eV/atom.

Entry 19:
Compound: MnHg
Source: Alexandria
Functional: PBE-GGA
Structure: relaxed

The space group is F-43m (No. 216) and the conventional cell measures 6.2148, 6.2148 and 6.2148 Å, with angles of 90.00, 90.00 and 90.00 degrees. The distinct sites, in fractional coordinates, are Mn at (0.0000, 0.0000, 0.0000) and Hg at (0.2500, 0.2500, 0.7500).

The calculation puts the volume at 240.04 Å³ per cell. The energy relative to the elements comes out at 0.975 eV/atom.

Entry 20:
Compound: MnHg
Source: Alexandria
Functional: PBE-GGA
Structure: relaxed

The space group is P4_2/mnm (No. 136) and the conventional cell measures 5.4336, 5.4336 and 5.5681 Å, with angles of 90.00, 90.00 and 90.00 degrees. The distinct sites, in fractional coordinates, are Mn at (0.1907, 0.1907, 0.0000) and Hg at (0.1958, 0.1958, 0.5000).

The calculation puts the volume at 164.39 Å³ per cell. The energy relative to the elements comes out at 0.543 eV/atom.